(1)
Density functional theory data (GGA-PBE) for a relaxed structure of AcPrPu.

Values from the calculation:
energy above the lowest structure with this stoichiometry	160	meV/atom
formation enthalpy at 0 K	0.329	eV/atom
crystal system	trigonal
E_tot	-22.2	eV/f.u.

abc: 5.9832 5.9832 3.5188
angles: 90.00 90.00 120.00
Space group P3m1 (No. 156)
Inequivalent atoms, fractional coordinates:
Ac  0.0000  0.0000  0.0000 (multiplicity 1)
Pr  0.6667  0.3333  0.9967 (multiplicity 1)
Pu  0.3333  0.6667  0.4984 (multiplicity 1)

(2)
Density functional theory data (GGA-PBE) for a relaxed structure of Ac2PrPu.

Values from the calculation:
energy above the lowest structure with this stoichiometry	90	meV/atom
formation enthalpy at 0 K	0.244	eV/atom
crystal system	cubic
E_tot	-26.4	eV/f.u.

abc: 8.510 8.510 8.510
angles: 90.00 90.00 90.00
Space group Fm-3m (No. 225)
Inequivalent atoms, fractional coordinates:
Ac  0.250  0.250  0.250 (multiplicity 8)
Pr  0.000  0.000  0.000 (multiplicity 4)
Pu  0.000  0.000  0.500 (multiplicity 4)

> Among the records above, which one has the lowest formation enthalpy at 0 K?

Ac2PrPu

Repeat the first record exactly.
Density functional theory data (GGA-PBE) for a relaxed structure of AcPrPu.

Values from the calculation:
energy above the lowest structure with this stoichiometry	160	meV/atom
formation enthalpy at 0 K	0.329	eV/atom
crystal system	trigonal
E_tot	-22.2	eV/f.u.

abc: 5.9832 5.9832 3.5188
angles: 90.00 90.00 120.00
Space group P3m1 (No. 156)
Inequivalent atoms, fractional coordinates:
Ac  0.0000  0.0000  0.0000 (multiplicity 1)
Pr  0.6667  0.3333  0.9967 (multiplicity 1)
Pu  0.3333  0.6667  0.4984 (multiplicity 1)